Entry 1:
A relaxed MgAl4Tl crystal. Source: Alexandria, functional PBE-GGA.

Cell lengths 5.5718, 5.5718, 5.5718 Å; angles 60.00, 60.00, 60.00 degrees
With the nearest neighbours (Å) after each atom.
Fractional positions:
Mg 0.0000 0.0000 0.0000  12 Al 3.27, 4 Tl 3.41
Al 0.3745 0.3745 0.3745  6 Al 2.78-2.80
Al 0.3745 0.3745 0.8765  6 Al 2.78-2.80
Al 0.3745 0.8765 0.3745  6 Al 2.78-2.80
Al 0.8765 0.3745 0.3745  6 Al 2.78-2.80
Tl 0.7500 0.7500 0.7500  12 Al 3.27, 4 Mg 3.41

***

Entry 2:
A relaxed ErScCoRh crystal. Source: Alexandria, functional PBE-GGA.

Cell lengths 4.6236, 4.6236, 4.6236 Å; angles 60.00, 60.00, 60.00 degrees
With the nearest neighbours (Å) after each atom.
Fractional positions:
Er 0.0000 0.0000 0.0000  4 Co 2.83, 4 Rh 2.83
Sc 0.5000 0.5000 0.5000  4 Co 2.83, 4 Rh 2.83
Co 0.7500 0.7500 0.7500  4 Er 2.83, 4 Sc 2.83
Rh 0.2500 0.2500 0.2500  4 Er 2.83, 4 Sc 2.83

***

Calculated volume list, top to bottom, in Å³ per atom: 20.386, 17.473
ΔH_f (0 K) list, top to bottom, in eV per atom: 0.126, -0.589